{
  "formula": "Tm2Al2Ni5Ge",
  "functional": "PBE-GGA",
  "state": "optimized geometry",
  "lattice_angstrom": [[-0.091, 1.172, -2.795], [-9.956, 0.024, 0.336], [0.152, 9.188, 3.846]],
  "species": ["Tm", "Tm", "Tm", "Tm", "Ni", "Ni", "Ni", "Ni", "Ni", "Ni", "Ni", "Ni", "Ni", "Ni", "Ge", "Ge", "Al", "Al", "Al", "Al"],
  "frac_coords": [[0.000, 0.327, 0.827], [0.000, 0.827, 0.673], [0.000, 0.173, 0.327], [0.000, 0.673, 0.173], [0.500, 0.552, 0.691], [0.500, 0.191, 0.052], [0.500, 0.500, 0.000], [0.500, 0.809, 0.948], [0.500, 0.309, 0.552], [0.500, 0.448, 0.309], [0.500, 0.948, 0.191], [0.500, 0.052, 0.809], [0.500, 0.691, 0.448], [0.500, 0.000, 0.500], [0.000, 0.000, 0.000], [0.000, 0.500, 0.500], [0.000, 0.872, 0.372], [0.000, 0.628, 0.872], [0.000, 0.128, 0.628], [0.000, 0.372, 0.128]],
  "dft_energy_ev_per_cell": -107.8,
  "magnetic_moment_mub_per_fu": 0.00,
  "spacegroup": "P4/mbm (127)"
}

{
  "formula": "Y2AlNi4Ge3",
  "functional": "PBE-GGA",
  "state": "optimized geometry",
  "lattice_angstrom": [[-0.640, -0.949, -3.881], [-2.172, -3.216, 1.144], [-8.172, 5.517, -0.002]],
  "species": ["Y", "Y", "Ni", "Ni", "Ni", "Ni", "Ge", "Ge", "Ge", "Al"],
  "frac_coords": [[0.000, 0.500, 0.753], [0.500, 0.000, 0.247], [0.000, 0.500, 0.366], [0.500, 0.000, 0.634], [0.000, 0.000, 0.000], [0.500, 0.500, 0.000], [0.000, 0.000, 0.500], [0.000, 0.500, 0.129], [0.500, 0.000, 0.871], [0.500, 0.500, 0.500]],
  "dft_energy_ev_per_cell": -60.8,
  "magnetic_moment_mub_per_fu": 0.00,
  "spacegroup": "P-4m2 (115)"
}

{
  "formula": "YAlNi4Ge2",
  "functional": "PBE-GGA",
  "state": "optimized geometry",
  "lattice_angstrom": [[-1.277, -3.476, -1.625], [-0.390, -3.291, 2.316], [-8.347, -0.167, 1.886]],
  "species": ["Al", "Ni", "Ni", "Ni", "Ni", "Y", "Ge", "Ge"],
  "frac_coords": [[0.500, 0.500, 0.500], [0.594, 0.594, 0.219], [0.865, 0.865, 0.406], [0.135, 0.135, 0.594], [0.406, 0.406, 0.781], [0.000, 0.000, 0.000], [0.247, 0.247, 0.260], [0.753, 0.753, 0.740]],
  "dft_energy_ev_per_cell": -46.6,
  "magnetic_moment_mub_per_fu": 0.00,
  "spacegroup": "R-3m (166)"
}

{
  "formula": "NpAl2Ge",
  "functional": "PBE-GGA",
  "state": "optimized geometry",
  "lattice_angstrom": [[4.393, 0.000, 0.000], [0.000, 4.166, 0.000], [0.000, 0.000, 4.166]],
  "species": ["Al", "Al", "Ge", "Np"],
  "frac_coords": [[0.000, 0.500, 0.000], [0.000, 0.000, 0.500], [0.500, 0.000, 0.000], [0.500, 0.500, 0.500]],
  "dft_energy_ev_per_cell": -25.8,
  "relative_energy_ev_per_atom": 0.000,
  "magnetic_moment_mub_per_fu": 3.86,
  "spacegroup": "P4/mmm (123)"
}

{
  "formula": "NpAl2Ge",
  "functional": "PBE-GGA",
  "state": "optimized geometry",
  "lattice_angstrom": [[4.817, 0.000, 0.000], [2.409, 4.172, 0.000], [2.409, 1.391, 3.933]],
  "species": ["Ge", "Al", "Al", "Np"],
  "frac_coords": [[0.500, 0.500, 0.500], [0.250, 0.250, 0.250], [0.750, 0.750, 0.750], [0.000, 0.000, 0.000]],
  "dft_energy_ev_per_cell": -24.0,
  "relative_energy_ev_per_atom": 0.439,
  "magnetic_moment_mub_per_fu": 4.36,
  "spacegroup": "Fm-3m (225)"
}

{
  "formula": "NpAl2Ge3",
  "functional": "PBE-GGA",
  "state": "optimized geometry",
  "lattice_angstrom": [[-0.289, -0.918, 3.737], [3.503, -2.760, -0.407], [2.216, 6.197, 1.694]],
  "species": ["Al", "Al", "Ge", "Ge", "Ge", "Np"],
  "frac_coords": [[0.000, 0.670, 0.340], [0.000, 0.330, 0.660], [0.500, 0.823, 0.646], [0.500, 0.177, 0.354], [0.500, 0.500, 0.000], [0.000, 0.000, 0.000]],
  "dft_energy_ev_per_cell": -34.7,
  "magnetic_moment_mub_per_fu": 3.76,
  "spacegroup": "Cmmm (65)"
}

{
  "formula": "NpAl3Ge3",
  "functional": "PBE-GGA",
  "state": "optimized geometry",
  "lattice_angstrom": [[6.993, 0.000, 0.000], [0.000, 6.993, 0.000], [0.000, 0.000, 6.993]],
  "species": ["Al", "Al", "Al", "Al", "Al", "Al", "Np", "Np", "Ge", "Ge", "Ge", "Ge", "Ge", "Ge"],
  "frac_coords": [[0.750, 0.500, 0.000], [0.000, 0.750, 0.500], [0.500, 0.000, 0.750], [0.000, 0.250, 0.500], [0.250, 0.500, 0.000], [0.500, 0.000, 0.250], [0.000, 0.000, 0.000], [0.500, 0.500, 0.500], [0.750, 0.000, 0.500], [0.500, 0.250, 0.000], [0.000, 0.500, 0.750], [0.250, 0.000, 0.500], [0.500, 0.750, 0.000], [0.000, 0.500, 0.250]],
  "dft_energy_ev_per_cell": -71.2,
  "magnetic_moment_mub_per_fu": 4.54,
  "spacegroup": "Pm-3n (223)"
}

{
  "formula": "PmNpAlGe",
  "functional": "PBE-GGA",
  "state": "optimized geometry",
  "lattice_angstrom": [[-4.322, 2.614, 0.763], [-4.389, -2.494, 0.783], [-2.175, 0.046, 4.622]],
  "species": ["Np", "Pm", "Ge", "Al"],
  "frac_coords": [[0.250, 0.250, 0.250], [0.750, 0.750, 0.750], [0.500, 0.500, 0.500], [0.000, 0.000, 0.000]],
  "dft_energy_ev_per_cell": -26.6,
  "magnetic_moment_mub_per_fu": 4.31,
  "spacegroup": "F-43m (216)"
}

{
  "formula": "Np2AlGe3Pt4",
  "functional": "PBE-GGA",
  "state": "optimized geometry",
  "lattice_angstrom": [[4.235, 0.000, 0.000], [0.000, 4.235, 0.000], [0.000, 0.000, 10.485]],
  "species": ["Pt", "Pt", "Pt", "Pt", "Ge", "Ge", "Ge", "Np", "Np", "Al"],
  "frac_coords": [[0.500, 0.000, 0.631], [0.000, 0.000, 0.000], [0.000, 0.500, 0.369], [0.500, 0.500, 0.000], [0.000, 0.000, 0.500], [0.500, 0.000, 0.864], [0.000, 0.500, 0.136], [0.500, 0.000, 0.249], [0.000, 0.500, 0.751], [0.500, 0.500, 0.500]],
  "dft_energy_ev_per_cell": -73.7,
  "magnetic_moment_mub_per_fu": 8.35,
  "spacegroup": "P-4m2 (115)"
}

{
  "formula": "Np2AlGe2Rh5",
  "functional": "PBE-GGA",
  "state": "optimized geometry",
  "lattice_angstrom": [[-0.687, -2.863, -0.334], [7.479, -0.925, -7.445], [7.089, -2.570, 7.441]],
  "species": ["Rh", "Rh", "Rh", "Rh", "Rh", "Rh", "Rh", "Rh", "Rh", "Rh", "Ge", "Ge", "Ge", "Ge", "Al", "Al", "Np", "Np", "Np", "Np"],
  "frac_coords": [[0.500, 0.043, 0.804], [0.500, 0.457, 0.304], [0.500, 0.304, 0.543], [0.500, 0.500, 0.000], [0.500, 0.957, 0.196], [0.500, 0.696, 0.457], [0.500, 0.196, 0.043], [0.500, 0.804, 0.957], [0.500, 0.000, 0.500], [0.500, 0.543, 0.696], [0.000, 0.366, 0.134], [0.000, 0.634, 0.866], [0.000, 0.134, 0.634], [0.000, 0.866, 0.366], [0.000, 0.500, 0.500], [0.000, 0.000, 0.000], [0.000, 0.176, 0.324], [0.000, 0.824, 0.676], [0.000, 0.324, 0.824], [0.000, 0.676, 0.176]],
  "dft_energy_ev_per_cell": -161.3,
  "magnetic_moment_mub_per_fu": 7.89,
  "spacegroup": "P4/mbm (127)"
}

{
  "formula": "Np2Al2GeRu5",
  "functional": "PBE-GGA",
  "state": "optimized geometry",
  "lattice_angstrom": [[-3.029, -0.684, -0.541], [2.339, -9.883, -0.602], [-1.565, -0.980, 10.005]],
  "species": ["Ru", "Ru", "Ru", "Ru", "Ru", "Ru", "Ru", "Ru", "Ru", "Ru", "Ge", "Ge", "Np", "Np", "Np", "Np", "Al", "Al", "Al", "Al"],
  "frac_coords": [[0.500, 0.458, 0.300], [0.500, 0.542, 0.700], [0.500, 0.300, 0.542], [0.500, 0.700, 0.458], [0.500, 0.500, 0.000], [0.500, 0.000, 0.500], [0.500, 0.042, 0.800], [0.500, 0.200, 0.042], [0.500, 0.958, 0.200], [0.500, 0.800, 0.958], [0.000, 0.500, 0.500], [0.000, 0.000, 0.000], [0.000, 0.672, 0.172], [0.000, 0.172, 0.328], [0.000, 0.328, 0.828], [0.000, 0.828, 0.672], [0.000, 0.369, 0.131], [0.000, 0.131, 0.631], [0.000, 0.869, 0.369], [0.000, 0.631, 0.869]],
  "dft_energy_ev_per_cell": -172.9,
  "magnetic_moment_mub_per_fu": 5.76,
  "spacegroup": "P4/mbm (127)"
}

{
  "formula": "NpAl2SiGe",
  "functional": "PBE-GGA",
  "state": "optimized geometry",
  "lattice_angstrom": [[-2.491, 0.436, -3.122], [5.092, -0.903, -1.604], [-1.549, -8.760, 0.012]],
  "species": ["Ge", "Ge", "Si", "Si", "Np", "Np", "Al", "Al", "Al", "Al"],
  "frac_coords": [[0.000, 0.000, 0.500], [0.000, 0.000, 0.000], [0.853, 0.707, 0.750], [0.147, 0.293, 0.250], [0.431, 0.862, 0.250], [0.569, 0.138, 0.750], [0.718, 0.436, 0.410], [0.282, 0.564, 0.590], [0.282, 0.564, 0.910], [0.718, 0.436, 0.090]],
  "dft_energy_ev_per_cell": -62.2,
  "magnetic_moment_mub_per_fu": 3.97,
  "raw_formation_energy_ev_per_atom": -0.12,
  "spacegroup": "Cmcm (63)"
}

Number 12 is which compound? NpAl2SiGe

What did the seventh record say?
{
  "formula": "NpAl3Ge3",
  "functional": "PBE-GGA",
  "state": "optimized geometry",
  "lattice_angstrom": [[6.993, 0.000, 0.000], [0.000, 6.993, 0.000], [0.000, 0.000, 6.993]],
  "species": ["Al", "Al", "Al", "Al", "Al", "Al", "Np", "Np", "Ge", "Ge", "Ge", "Ge", "Ge", "Ge"],
  "frac_coords": [[0.750, 0.500, 0.000], [0.000, 0.750, 0.500], [0.500, 0.000, 0.750], [0.000, 0.250, 0.500], [0.250, 0.500, 0.000], [0.500, 0.000, 0.250], [0.000, 0.000, 0.000], [0.500, 0.500, 0.500], [0.750, 0.000, 0.500], [0.500, 0.250, 0.000], [0.000, 0.500, 0.750], [0.250, 0.000, 0.500], [0.500, 0.750, 0.000], [0.000, 0.500, 0.250]],
  "dft_energy_ev_per_cell": -71.2,
  "magnetic_moment_mub_per_fu": 4.54,
  "spacegroup": "Pm-3n (223)"
}